First-principles (PBE) data for an optimized crystal structure of Ba2Hg3, as listed in Alexandria via LeMat-Bulk.

## Properties
* space-group type: Cmcm
* total magnetic moment: 0.000 μB/atom
* E_tot: -1.446 eV/atom
* ΔE_f: -0.495 eV per atom

Cell and atoms, written as extended XYZ:
```
10
Lattice="2.2054 -15.8535 0.0000 2.2054 15.8535 0.0000 0.0000 0.0000 5.1703" Properties=species:S:1:pos:R:3 pbc="T T T"
Ba 2.2054 13.6141 3.8777
Ba 2.2054 9.3973 1.2926
Ba 2.2054 -9.3973 3.8777
Ba 2.2054 -13.6141 1.2926
Hg 2.2054 5.5554 1.2926
Hg 2.2054 3.7508 3.8777
Hg 2.2054 0.7583 3.8777
Hg 2.2054 -0.7583 1.2926
Hg 2.2054 -3.7508 1.2926
Hg 2.2054 -5.5554 3.8777
```

=====

First-principles (PBE) data for an optimized crystal structure of Ag4Pd3Au2, as listed in Alexandria via LeMat-Bulk.

## Properties
* space-group type: C2/m
* total magnetic moment: 0.000 μB/atom
* E_tot: -3.793 eV/atom
* ΔE_f: -0.066 eV per atom

Cell and atoms, written as extended XYZ:
```
9
Lattice="6.0381 -2.0655 0.0000 6.0381 2.0655 0.0000 -2.0328 0.0000 6.1377" Properties=species:S:1:pos:R:3 pbc="T T T"
Ag 0.9703 0.0000 1.0348
Ag 3.0618 0.0000 3.0778
Ag 6.9816 0.0000 3.0599
Ag 9.0731 0.0000 5.1029
Pd -1.0164 0.0000 3.0688
Pd 5.0128 0.0000 0.9950
Pd 5.0306 0.0000 5.1426
Au 0.9645 0.0000 5.0957
Au 9.0788 0.0000 1.0420
```